Entry 1:
PBE Dy6InP2S3, relaxed; E_form (uncorrected) = -18.9 eV per formula unit; N(E_F) = 4.09 states/eV per cell
1.0
8.787 -1.986 0.000
8.787 1.986 0.000
-1.864 0.000 7.943
Dy In P S
6 1 2 3
Direct
0.002 0.002 0.271 Dy
0.327 0.327 0.905 Dy
0.330 0.330 0.423 Dy
0.670 0.670 0.577 Dy
0.673 0.673 0.095 Dy
0.998 0.998 0.729 Dy
0.500 0.500 0.000 In
0.168 0.168 0.336 P
0.832 0.832 0.664 P
0.167 0.167 0.831 S
0.500 0.500 0.500 S
0.833 0.833 0.169 S


Entry 2:
PBE SbAuC3, relaxed; E_form (uncorrected) = 14.6 eV per formula unit; N(E_F) = 4.52 states/eV per cell; E above lowest polymorph = 0 meV per atom
1.0
4.201 0.000 0.000
0.000 4.201 0.000
0.000 0.000 4.201
Sb Au C
1 1 3
Direct
0.000 0.000 0.000 Sb
0.500 0.500 0.500 Au
0.000 0.500 0.500 C
0.500 0.000 0.500 C
0.500 0.500 0.000 C


Entry 3:
PBE Dy5Y2Th2, relaxed; N(E_F) = 13.77 states/eV per cell; E above lowest polymorph = 44 meV per atom; energy relative to the elements = 0.28 eV per atom
1.0
11.287 -1.735 0.000
11.287 1.735 0.000
-1.124 0.000 7.859
Dy Y Th
5 2 2
Direct
0.000 0.000 0.000 Dy
0.090 0.090 0.730 Dy
0.307 0.307 0.453 Dy
0.693 0.693 0.547 Dy
0.910 0.910 0.270 Dy
0.177 0.177 0.148 Y
0.823 0.823 0.852 Y
0.445 0.445 0.649 Th
0.555 0.555 0.351 Th